TbNd2SmSe5: optimized geometry, PBE.

## Properties
SG	P4/mmm
total DFT energy (no corrections)	-5.29	eV/atom
total moment	0.00	μB/f.u.
ΔE_f (raw)	-1.26	eV/atom

abc: 5.1709 5.1709 10.9315
angles: 90.00 90.00 90.00
Closest atoms and distances in Å follow each position.
Positions (direct):
Tb 0.0000 0.0000 0.5000  6 Se 2.59-2.75
Nd 0.5000 0.5000 0.3301  4 Se 3.18
Nd 0.5000 0.5000 0.6699  4 Se 3.18
Sm 0.0000 0.0000 0.0000  2 Se 2.71
Se 0.0000 0.5000 0.5000  2 Tb 2.59
Se 0.5000 0.0000 0.5000  2 Tb 2.59
Se 0.0000 0.0000 0.7520  1 Sm 2.71, 1 Tb 2.75
Se 0.0000 0.0000 0.2480  1 Sm 2.71, 1 Tb 2.75
Se 0.5000 0.5000 0.0000  2 Nd 3.61, 4 Sm 3.66

***

Os2RhPb: optimized geometry, PBE.

## Properties
ΔH_f (0 K)	0.786	eV/atom
SG	P2/m
total DFT energy (no corrections)	-7.59	eV/atom
total moment	0.00	μB/f.u.

abc: 4.9127 2.8952 4.7401
angles: 89.20 90.00 90.00
Closest atoms and distances in Å follow each position.
Positions (direct):
Os 0.0000 0.2340 0.7288  2 Os 2.57-2.64, 2 Rh 2.79, 2 Pb 2.85
Os 0.0000 0.7660 0.2712  2 Os 2.57-2.64, 2 Rh 2.79, 2 Pb 2.85
Rh 0.5000 0.5000 0.5000  4 Pb 2.76-2.79, 4 Os 2.79, 2 Rh 2.90
Pb 0.5000 0.0000 0.0000  4 Rh 2.76-2.79, 4 Os 2.85, 2 Pb 2.90

***

Ho5Ga2Hg2: optimized geometry, PBE.

## Properties
ΔH_f (0 K)	-0.506	eV/atom
SG	Cmce
total DFT energy (no corrections)	-3.79	eV/atom
total moment	0.00	μB/f.u.

abc: 7.5635 7.6136 8.9094
angles: 115.30 90.00 90.00
Closest atoms and distances in Å follow each position.
Positions (direct):
Ho 0.0000 0.0000 0.0000  4 Ga 3.01-3.03
Ho 0.5000 0.5000 0.0000  4 Ga 3.01-3.03
Ho 0.8250 0.8145 0.2634  3 Ga 3.02-3.16, 3 Hg 3.07-3.14
Ho 0.1750 0.4489 0.2634  3 Ga 3.02-3.16, 3 Hg 3.07-3.14
Ho 0.3250 0.9489 0.2634  3 Ga 3.02-3.16, 3 Hg 3.07-3.14
Ho 0.6750 0.3145 0.2634  3 Ga 3.02-3.16, 3 Hg 3.07-3.14
Ho 0.1750 0.1855 0.7366  3 Ga 3.02-3.16, 3 Hg 3.07-3.14
Ho 0.8250 0.5511 0.7366  3 Ga 3.02-3.16, 3 Hg 3.07-3.14
Ho 0.6750 0.0511 0.7366  3 Ga 3.02-3.16, 3 Hg 3.07-3.14
Ho 0.3250 0.6855 0.7366  3 Ga 3.02-3.16, 3 Hg 3.07-3.14
Ga 0.6209 0.8799 0.0000  1 Ga 2.59
Ga 0.3791 0.1201 0.0000  1 Ga 2.59
Ga 0.1209 0.6201 0.0000  1 Ga 2.59
Ga 0.8791 0.3799 0.0000  1 Ga 2.59
Hg 0.0000 0.2165 0.4331  6 Ho 3.07-3.14
Hg 0.5000 0.7165 0.4331  6 Ho 3.07-3.14
Hg 0.0000 0.7835 0.5669  6 Ho 3.07-3.14
Hg 0.5000 0.2835 0.5669  6 Ho 3.07-3.14

***

CrInFe2: optimized geometry, PBE.

## Properties
ΔH_f (0 K)	0.648	eV/atom
SG	I-42d
total DFT energy (no corrections)	-6.67	eV/atom
total moment	1.55	μB/f.u.

abc: 6.7241 6.7241 5.4414
angles: 51.84 51.84 90.00
Closest atoms and distances in Å follow each position.
Positions (direct):
Cr 0.5000 0.5000 0.0000  4 Fe 2.21
Cr 0.2500 0.7500 0.5000  4 Fe 2.21
Fe 0.5654 0.1250 0.2500  2 Cr 2.21
Fe 0.1846 0.6250 0.2500  2 Cr 2.21
Fe 0.3750 0.4346 0.7500  2 Cr 2.21
Fe 0.8750 0.8154 0.7500  2 Cr 2.21
In 0.0000 0.0000 0.0000  2 Cr 2.65, 8 Fe 2.76-2.90
In 0.7500 0.2500 0.5000  2 Cr 2.65, 8 Fe 2.76-2.90

***

La10Sm4Er: optimized geometry, PBE.

## Properties
ΔH_f (0 K)	0.270	eV/atom
SG	I4/mmm
total DFT energy (no corrections)	-4.58	eV/atom
total moment	0.00	μB/f.u.

abc: 9.4682 8.8464 8.8464
angles: 73.36 57.65 57.65
Closest atoms and distances in Å follow each position.
Positions (direct):
La 0.2500 0.5000 0.5000  4 Sm 3.19
La 0.5260 0.2983 0.0002  4 La 3.15-3.33
La 0.1756 0.9998 0.2983  4 La 3.15-3.33
La 0.4737 0.0002 0.7017  4 La 3.15-3.33
La 0.8246 0.7017 0.9998  4 La 3.15-3.33
La 0.4740 0.7017 0.9998  4 La 3.15-3.33
La 0.7500 0.5000 0.5000  4 Sm 3.19
La 0.1754 0.2983 0.0002  4 La 3.15-3.33
La 0.5263 0.9998 0.2983  4 La 3.15-3.33
La 0.8244 0.0002 0.7017  4 La 3.15-3.33
Sm 0.2975 0.7023 0.7027  1 Er 3.14, 2 La 3.19
Sm 0.0002 0.2973 0.7023  1 Er 3.14, 2 La 3.19
Sm 0.9998 0.7027 0.2977  1 Er 3.14, 2 La 3.19
Sm 0.7025 0.2977 0.2973  1 Er 3.14, 2 La 3.19
Er 0.0000 0.0000 0.0000  4 Sm 3.14

***

SmSn2Bi: optimized geometry, PBE.

## Properties
ΔH_f (0 K)	-0.411	eV/atom
SG	I4/mmm
total DFT energy (no corrections)	-4.56	eV/atom
total moment	0.00	μB/f.u.

abc: 4.5922 6.2880 6.2880
angles: 42.84 68.58 68.58
Closest atoms and distances in Å follow each position.
Positions (direct):
Sm 0.5000 0.0000 0.0000  4 Bi 3.25, 8 Sn 3.54
Sn 0.2501 0.7499 0.7499  4 Sn 3.25, 4 Bi 3.54, 4 Sm 3.54
Sn 0.7499 0.2501 0.2501  4 Sn 3.25, 4 Bi 3.54, 4 Sm 3.54
Bi 0.0000 0.5000 0.5000  4 Sm 3.25, 8 Sn 3.54

***

BaBiIO6: optimized geometry, PBE.

## Properties
SG	P312
total DFT energy (no corrections)	-5.35	eV/atom
total moment	0.00	μB/f.u.
ΔE_f (raw)	-1.23	eV/atom

abc: 5.8245 5.8245 5.5391
angles: 90.00 90.00 59.99
Closest atoms and distances in Å follow each position.
Positions (direct):
Ba 0.0000 0.0000 0.0000  6 O 2.76
Bi 0.6666 0.6667 0.5000  6 O 2.37
I 0.3333 0.3333 0.5000  6 O 1.92
O 0.0577 0.3462 0.3007  1 I 1.92
O 0.3461 0.0577 0.6992  1 I 1.92
O 0.5961 0.3463 0.6993  1 I 1.92
O 0.0575 0.5964 0.6991  1 I 1.92
O 0.3462 0.5961 0.3007  1 I 1.92
O 0.5963 0.0575 0.3008  1 I 1.92

***

Na4LiHg3: optimized geometry, PBE.

## Properties
ΔH_f (0 K)	-0.169	eV/atom
SG	Immm
total DFT energy (no corrections)	-1.18	eV/atom
total moment	0.00	μB/f.u.

abc: 3.4565 9.0829 8.4376
angles: 122.56 101.82 90.00
Closest atoms and distances in Å follow each position.
Positions (direct):
Na 0.6412 0.8409 0.2823  5 Hg 3.17-3.25, 1 Li 3.35, 2 Na 3.46
Na 0.3588 0.1591 0.7177  5 Hg 3.17-3.25, 1 Li 3.35, 2 Na 3.46
Na 0.3588 0.5585 0.7177  5 Hg 3.17-3.25, 1 Li 3.35, 2 Na 3.46
Na 0.6412 0.4415 0.2823  5 Hg 3.17-3.25, 1 Li 3.35, 2 Na 3.46
Hg 0.8367 0.8367 0.6735  2 Li 2.84
Hg 0.1633 0.1633 0.3265  2 Li 2.84
Hg 0.0000 0.5000 0.0000  8 Na 3.17, 2 Hg 3.46
Li 0.5000 0.0000 0.0000  4 Hg 2.84

***

Tb2Dy6Er: optimized geometry, PBE.

## Properties
ΔH_f (0 K)	0.018	eV/atom
SG	P4_2/mnm
total DFT energy (no corrections)	-4.59	eV/atom
total moment	0.00	μB/f.u.

abc: 4.9992 10.6005 10.6000
angles: 90.00 90.00 90.00
Closest atoms and distances in Å follow each position.
Positions (direct):
Tb 0.0000 0.3335 0.8335  10 Dy 3.53-3.54, 2 Er 3.53
Tb 0.5000 0.8336 0.6665  10 Dy 3.53-3.54, 2 Er 3.53
Tb 0.5000 0.1664 0.3335  10 Dy 3.53-3.54, 2 Er 3.53
Tb 0.0000 0.6665 0.1665  10 Dy 3.53-3.54, 2 Er 3.53
Dy 0.0000 0.0001 0.1669  1 Er 3.53, 3 Tb 3.53-3.54, 8 Dy 3.53-3.54
Dy 0.0000 0.6669 0.5002  1 Er 3.53, 3 Tb 3.53-3.54, 8 Dy 3.53-3.54
Dy 0.0000 0.6666 0.8335  4 Tb 3.53-3.54, 2 Er 3.53, 6 Dy 3.53
Dy 0.5001 0.1666 0.6665  4 Tb 3.53-3.54, 2 Er 3.53, 6 Dy 3.53
Dy 0.5000 0.1669 0.9998  1 Er 3.53, 3 Tb 3.53-3.54, 8 Dy 3.53-3.54
Dy 0.5000 0.5001 0.3332  1 Er 3.53, 3 Tb 3.53-3.54, 8 Dy 3.53-3.54
Dy 0.0000 0.9999 0.8331  1 Er 3.53, 3 Tb 3.53-3.54, 8 Dy 3.53-3.54
Dy 0.0000 0.3331 0.4998  1 Er 3.53, 3 Tb 3.53-3.54, 8 Dy 3.53-3.54
Dy 0.0000 0.3334 0.1665  4 Tb 3.53-3.54, 2 Er 3.53, 6 Dy 3.53
Dy 0.4999 0.8334 0.3335  4 Tb 3.53-3.54, 2 Er 3.53, 6 Dy 3.53
Dy 0.5000 0.8331 0.0002  1 Er 3.53, 3 Tb 3.53-3.54, 8 Dy 3.53-3.54
Dy 0.5000 0.4999 0.6668  1 Er 3.53, 3 Tb 3.53-3.54, 8 Dy 3.53-3.54
Er 0.5000 0.5000 0.0000  8 Dy 3.53, 4 Tb 3.53
Er 0.0000 0.0000 0.5000  8 Dy 3.53, 4 Tb 3.53

***

Pr2FeP2N6: optimized geometry, PBE.

## Properties
SG	R-3m
total DFT energy (no corrections)	-7.79	eV/atom
total moment	1.99	μB/f.u.
ΔE_f (raw)	-0.62	eV/atom

abc: 5.4401 5.4401 6.0340
angles: 63.21 63.21 60.00
Closest atoms and distances in Å follow each position.
Positions (direct):
Pr 0.7787 0.7787 0.6638  9 N 2.67-2.76
Pr 0.2213 0.2213 0.3362  9 N 2.67-2.76
Fe 0.0000 0.0000 0.0000  6 N 1.97
P 0.4305 0.4305 0.7086  3 N 1.62
P 0.5695 0.5695 0.2914  3 N 1.62
N 0.7567 0.7567 0.2401  1 P 1.62
N 0.2465 0.7567 0.2401  1 P 1.62
N 0.7567 0.2465 0.2401  1 P 1.62
N 0.2433 0.7535 0.7599  1 P 1.62
N 0.7535 0.2433 0.7599  1 P 1.62
N 0.2433 0.2433 0.7599  1 P 1.62

***

CrMoBr2: optimized geometry, PBE.

## Properties
SG	R-3m
total DFT energy (no corrections)	-5.35	eV/atom
total moment	4.89	μB/f.u.
ΔE_f (raw)	0.60	eV/atom

abc: 9.8425 9.8425 9.8425
angles: 19.21 19.21 19.21
Closest atoms and distances in Å follow each position.
Positions (direct):
Br 0.0202 0.0202 0.0202  3 Mo 2.64
Br 0.4798 0.4798 0.4798  3 Mo 2.64
Cr 0.2500 0.2500 0.2500  6 Cr 3.28, 6 Br 3.55
Mo 0.7500 0.7500 0.7500  6 Br 2.64

***

Pm7Mg2Al2: optimized geometry, PBE.

## Properties
ΔH_f (0 K)	0.155	eV/atom
SG	Cmmm
total DFT energy (no corrections)	-3.84	eV/atom
total moment	0.00	μB/f.u.

abc: 6.5807 8.6106 6.5807
angles: 90.00 109.35 90.00
Closest atoms and distances in Å follow each position.
Positions (direct):
Pm 0.0000 0.2991 0.5000  2 Al 3.25, 2 Mg 3.28, 3 Pm 3.29-3.46
Pm 0.5000 0.7009 0.0000  2 Al 3.25, 2 Mg 3.28, 3 Pm 3.29-3.46
Pm 0.0000 0.7009 0.5000  2 Al 3.25, 2 Mg 3.28, 3 Pm 3.29-3.46
Pm 0.5000 0.2991 0.0000  2 Al 3.25, 2 Mg 3.28, 3 Pm 3.29-3.46
Pm 0.0000 0.0000 0.0000  2 Mg 3.40
Pm 0.5000 0.7056 0.5000  2 Al 3.09, 2 Mg 3.21, 4 Pm 3.29
Pm 0.5000 0.2944 0.5000  2 Al 3.09, 2 Mg 3.21, 4 Pm 3.29
Mg 0.6830 0.0000 0.3170  7 Pm 3.21-3.40
Mg 0.3170 0.0000 0.6830  7 Pm 3.21-3.40
Al 0.8322 0.5000 0.8322  1 Al 2.55
Al 0.1678 0.5000 0.1678  1 Al 2.55